Below is an optimized crystal structure of CaNpFeO5, with properties calculated at the PBE+U level.

Output
ρ (g/cm3): 5.7
Final energy (eV per atom): -8.2124

Geometry as POSCAR:
```
CaNpFeO5
1.0
3.384 -4.841 0.000
3.384 4.841 0.000
-3.372 0.000 7.302
Ca Np Fe O
2 2 2 10
direct
0.071 0.929 0.750
0.929 0.071 0.250
0.000 0.500 0.000
0.500 0.000 0.500
0.433 0.567 0.750
0.567 0.433 0.250
0.172 0.828 0.250
0.202 0.300 0.094
0.266 0.702 0.915
0.298 0.734 0.585
0.300 0.202 0.594
0.700 0.798 0.406
0.702 0.266 0.415
0.734 0.298 0.085
0.798 0.700 0.906
0.828 0.172 0.750
```